Entry 1:
DFT (PBE) results for Ag2As2Au after structural relaxation.

abc: 4.280 4.280 6.420
angles: 70.53 70.53 90.00
Element x y z (fractional)
Ag  0.750  0.250  0.500
Ag  0.250  0.750  0.500
As  0.394  0.394  0.212
Au  0.000  0.000  0.000
As  0.606  0.606  0.788

## Properties
Space group ... I4/mmm, No. 139
VASP energy ... -3.29 eV/atom
ΔE_f ... 1.81 eV/f.u.
Total magnetic moment ... 0.0 μB/f.u.
Mass density ... 9.0 Mg/m³
Fermi-level density of states ... 0.417 states/eV/atom
Energy above the lowest structure with this stoichiometry ... 0.1863 eV per atom

Entry 2:
DFT (PBE) results for Mg2TcP after structural relaxation.

abc: 8.836 8.836 8.836
angles: 20.10 20.10 20.10
Element x y z (fractional)
Mg  0.010  0.010  0.010
Tc  0.763  0.763  0.763
Mg  0.239  0.239  0.239
P  0.488  0.488  0.488

## Properties
Space group ... R3m, No. 160
VASP energy ... -4.91 eV/atom
ΔE_f ... -0.68 eV/f.u.
Total magnetic moment ... 0.0 μB/f.u.
Mass density ... 4.1 Mg/m³
Fermi-level density of states ... 0.263 states/eV/atom

Entry 3:
DFT (PBE) results for PmPaTi after structural relaxation.

abc: 3.424 3.424 13.536
angles: 97.27 97.27 90.00
Element x y z (fractional)
Pa  0.844  0.844  0.688
Pm  0.430  0.430  0.861
Pa  0.156  0.156  0.312
Ti  0.719  0.719  0.439
Ti  0.281  0.281  0.561
Pm  0.570  0.570  0.139

## Properties
Space group ... I4/mmm, No. 139
VASP energy ... -7.15 eV/atom
ΔE_f ... 0.68 eV/f.u.
Total magnetic moment ... 0.0 μB/f.u.
Mass density ... 9.0 Mg/m³
Fermi-level density of states ... 1.661 states/eV/atom

Entry 4:
DFT (PBE) results for MgTc2Pt after structural relaxation.

abc: 7.547 7.547 5.883
angles: 50.10 50.10 90.00
Element x y z (fractional)
Tc  0.663  0.125  0.250
Mg  0.500  0.500  0.000
Mg  0.250  0.750  0.500
Tc  0.375  0.337  0.750
Pt  0.750  0.250  0.500
Tc  0.087  0.625  0.250
Pt  0.000  0.000  0.000
Tc  0.875  0.913  0.750

## Properties
Space group ... I-42d, No. 122
VASP energy ... -6.56 eV/atom
ΔE_f ... 2.15 eV/f.u.
Total magnetic moment ... 0.0 μB/f.u.
Mass density ... 9.8 Mg/m³
Fermi-level density of states ... 1.126 states/eV/atom

Entry 5:
DFT (PBE) results for LaBiSe3 after structural relaxation.

abc: 4.237 8.324 8.519
angles: 92.32 90.00 90.00
Element x y z (fractional)
La  0.250  0.380  0.215
Bi  0.250  0.847  0.338
Se  0.250  0.685  0.026
Bi  0.750  0.153  0.662
La  0.750  0.620  0.785
Se  0.750  0.114  0.323
Se  0.250  0.886  0.677
Se  0.750  0.616  0.401
Se  0.250  0.384  0.599
Se  0.750  0.315  0.974

## Properties
Space group ... P2_1/m, No. 11
VASP energy ... -5.04 eV/atom
Total magnetic moment ... 0.0 μB/f.u.
Formation energy without anion corrections ... -1.184 eV/atom
Mass density ... 6.5 Mg/m³
Energy above the lowest structure with this stoichiometry ... 0.0040 eV per atom

Entry 6:
DFT (PBE) results for CaHgP2Pd5 after structural relaxation.

abc: 4.625 4.625 7.218
angles: 90.00 90.00 90.00
Element x y z (fractional)
Pd  0.500  0.000  0.758
Hg  0.000  0.000  0.000
P  0.500  0.500  0.159
Pd  0.500  0.500  0.500
P  0.500  0.500  0.841
Pd  0.500  0.000  0.242
Pd  0.000  0.500  0.758
Pd  0.000  0.500  0.242
Ca  0.000  0.000  0.500

## Properties
Space group ... P4/mmm, No. 123
VASP energy ... -4.85 eV/atom
ΔE_f ... -4.56 eV/f.u.
Total magnetic moment ... 0.0 μB/f.u.
Mass density ... 9.0 Mg/m³
Fermi-level density of states ... 0.397 states/eV/atom

Entry 7:
DFT (PBE) results for NaTe2PtN after structural relaxation.

abc: 5.814 5.814 3.667
angles: 90.00 90.00 90.00
Element x y z (fractional)
Te  0.500  0.000  0.000
Na  0.500  0.500  0.500
N  0.000  0.000  0.500
Pt  0.000  0.000  0.000
Te  0.000  0.500  0.000

## Properties
Space group ... P4/mmm, No. 123
VASP energy ... -4.27 eV/atom
Total magnetic moment ... 0.0 μB/f.u.
Formation energy without anion corrections ... 0.119 eV/atom
Mass density ... 6.5 Mg/m³
Fermi-level density of states ... 0.822 states/eV/atom
Energy above the lowest structure with this stoichiometry ... 0.0000 eV per atom

Entry 8:
DFT (PBE) results for SrSi3Rh6 after structural relaxation.

abc: 5.642 5.642 6.667
angles: 90.00 115.03 120.00
Element x y z (fractional)
Rh  0.740  0.092  0.270
Rh  0.788  0.389  0.676
Rh  0.277  0.889  0.676
Rh  0.621  0.529  0.270
Si  0.321  0.660  0.981
Rh  0.288  0.399  0.676
Rh  0.178  0.649  0.270
Si  0.652  0.326  0.978
Si  0.240  0.120  0.360
Sr  0.895  0.947  0.842

## Properties
Space group ... R3, No. 146
VASP energy ... -6.81 eV/atom
Total magnetic moment ... 0.0 μB/f.u.
Formation energy without anion corrections ... -0.604 eV/atom
Mass density ... 8.2 Mg/m³
Fermi-level density of states ... 0.839 states/eV/atom

Entry 9:
DFT (PBE) results for TiC3F after structural relaxation.

abc: 3.634 3.634 3.634
angles: 90.00 90.00 90.00
Element x y z (fractional)
Ti  0.500  0.500  0.500
C  0.500  0.000  0.000
C  0.000  0.500  0.000
F  0.000  0.000  0.000
C  0.000  0.000  0.500

## Properties
Space group ... Pm-3m, No. 221
VASP energy ... -5.16 eV/atom
Total magnetic moment ... 0.0 μB/f.u.
Formation energy without anion corrections ... 2.323 eV/atom
Mass density ... 3.6 Mg/m³
Fermi-level density of states ... 0.412 states/eV/atom
Energy above the lowest structure with this stoichiometry ... 0.1773 eV per atom

Entry 10:
DFT (PBE) results for Sr3LiPd3 after structural relaxation.

abc: 4.349 6.213 14.565
angles: 85.51 81.41 69.51
Element x y z (fractional)
Sr  0.260  0.251  0.229
Sr  0.740  0.749  0.771
Pd  0.891  0.139  0.078
Pd  0.873  0.706  0.548
Sr  0.397  0.283  0.924
Li  0.762  0.058  0.417
Pd  0.127  0.294  0.452
Pd  0.109  0.861  0.922
Sr  0.525  0.332  0.618
Sr  0.475  0.668  0.382
Sr  0.603  0.717  0.076
Li  0.238  0.942  0.583
Pd  0.037  0.161  0.765
Pd  0.963  0.839  0.235

## Properties
Space group ... C2/m, No. 12
VASP energy ... -3.76 eV/atom
ΔE_f ... -3.79 eV/f.u.
Total magnetic moment ... 0.0 μB/f.u.
Mass density ... 5.4 Mg/m³
Fermi-level density of states ... 0.351 states/eV/atom

Entry 11:
DFT (PBE) results for Ca2YAlTc after structural relaxation.

abc: 5.333 4.964 5.333
angles: 90.00 90.00 90.00
Element x y z (fractional)
Al  0.000  0.500  0.000
Ca  0.000  0.000  0.500
Ca  0.500  0.000  0.000
Tc  0.000  0.000  0.000
Y  0.500  0.500  0.500

## Properties
Space group ... P4/mmm, No. 123
VASP energy ... -4.48 eV/atom
ΔE_f ... 2.15 eV/f.u.
Total magnetic moment ... 0.0 μB/f.u.
Mass density ... 3.5 Mg/m³
Fermi-level density of states ... 1.293 states/eV/atom

Entry 12:
DFT (PBE) results for Th3Ga5O12 after structural relaxation.

abc: 11.293 11.293 11.293
angles: 109.47 109.47 109.47
Element x y z (fractional)
Ga  0.875  0.625  0.750
O  0.134  0.727  0.536
O  0.273  0.866  0.964
O  0.408  0.134  0.598
Th  0.250  0.625  0.875
O  0.866  0.273  0.464
O  0.592  0.866  0.402
O  0.190  0.098  0.964
O  0.092  0.190  0.227
O  0.464  0.690  0.098
O  0.402  0.036  0.310
O  0.908  0.098  0.634
O  0.536  0.310  0.902
Ga  0.500  0.000  0.000
Th  0.125  0.250  0.875
O  0.134  0.408  0.098
Th  0.250  0.125  0.375
O  0.273  0.408  0.810
Ga  0.250  0.875  0.125
O  0.366  0.402  0.092
O  0.592  0.727  0.690
Th  0.875  0.750  0.125
Th  0.750  0.375  0.125
Th  0.375  0.750  0.625
O  0.727  0.134  0.036
Ga  0.750  0.625  0.375
O  0.036  0.634  0.727
O  0.727  0.592  0.190
Ga  0.500  0.500  0.500
O  0.902  0.092  0.866
O  0.773  0.310  0.908
O  0.098  0.908  0.134
Th  0.750  0.875  0.625
O  0.408  0.273  0.310
Ga  0.125  0.375  0.250
O  0.598  0.634  0.408
Th  0.625  0.250  0.375
O  0.902  0.810  0.536
O  0.773  0.464  0.366
O  0.810  0.908  0.273
O  0.092  0.902  0.366
Ga  0.750  0.125  0.875
Ga  0.000  0.500  0.500
O  0.227  0.536  0.634
O  0.402  0.366  0.592
O  0.634  0.036  0.227
Ga  0.000  0.500  0.000
Ga  0.375  0.250  0.125
Ga  0.875  0.250  0.625
Th  0.375  0.625  0.250
Ga  0.125  0.750  0.375
Ga  0.500  0.500  0.000
O  0.908  0.810  0.773
O  0.690  0.464  0.598
Ga  0.000  0.000  0.500
Th  0.125  0.875  0.750
O  0.964  0.366  0.273
O  0.310  0.773  0.408
Th  0.625  0.375  0.750
O  0.810  0.902  0.036
Ga  0.625  0.875  0.250
O  0.536  0.227  0.134
O  0.964  0.598  0.190
O  0.464  0.773  0.866
O  0.690  0.227  0.592
Ga  0.500  0.000  0.500
Th  0.875  0.125  0.250
Ga  0.250  0.375  0.625
O  0.634  0.598  0.908
Ga  0.625  0.750  0.875
Ga  0.000  0.000  0.000
O  0.098  0.190  0.464
O  0.227  0.690  0.092
Ga  0.375  0.125  0.750
O  0.366  0.964  0.773
O  0.310  0.536  0.402
O  0.190  0.092  0.727
O  0.036  0.402  0.810
O  0.598  0.964  0.690
O  0.866  0.592  0.902

## Properties
Space group ... Ia-3d, No. 230
VASP energy ... -7.25 eV/atom
Total magnetic moment ... 0.0 μB/f.u.
Formation energy without anion corrections ... -2.401 eV/atom
Mass density ... 7.4 Mg/m³
Fermi-level density of states ... 0.101 states/eV/atom

Question: What is the mass density in the seventh record?
Answer: 6.5 Mg/m³

Question: What is the VASP energy in the third record?
Answer: -7.15 eV/atom

Question: mass density of number 7 (NaTe2PtN)?
Answer: 6.5 Mg/m³